1.
SiTcIr2, relaxed, DFT PBE; magnetic moment = 0.000 Bohr magnetons per cell; electronic total energy = -0.31591 hartree per atom; uncorrected formation energy = -21.09 kJ per mole of atoms; space-group type = R3m, No. 160
1.0
1.392 0.804 8.383
-1.392 0.804 8.383
0.000 -1.607 8.383
Si Tc Ir
1 1 2
Direct
0.000 0.000 0.000
0.747 0.747 0.747
0.258 0.258 0.258
0.499 0.499 0.499

***

2.
Si2TcIr, relaxed, DFT PBE; magnetic moment = 0.000 Bohr magnetons per cell; energy above the most stable polymorph in this dataset = 0.0 meV/atom; electronic total energy = -0.29666 hartree per atom; uncorrected formation energy = -53.47 kJ per mole of atoms; space-group type = Fm-3m, No. 225
1.0
0.000 2.968 2.968
2.968 0.000 2.968
2.968 2.968 0.000
Si Tc Ir
2 1 1
Direct
0.250 0.250 0.250
0.750 0.750 0.750
0.000 0.000 0.000
0.500 0.500 0.500

***

3.
Si2TcIr, relaxed, DFT PBE; magnetic moment = 0.001 Bohr magnetons per cell; energy above the most stable polymorph in this dataset = 225.5 meV/atom; electronic total energy = -0.28837 hartree per atom; uncorrected formation energy = -31.71 kJ per mole of atoms; space-group type = R-3m, No. 166
1.0
1.422 0.821 7.804
-1.422 0.821 7.804
0.000 -1.642 7.804
Si Tc Ir
2 1 1
Direct
0.250 0.250 0.250
0.750 0.750 0.750
0.000 0.000 0.000
0.500 0.500 0.500